[1]
Crystalline Th2UCo4As3 at its relaxed geometry. Source: Alexandria via LeMat-Bulk, functional PBE-GGA.

Cell lengths 4.153, 4.153, 10.123 Å; angles 90.00, 90.00, 90.00 degrees
Fractional coordinates of all 10 atoms:
Co 0.000 0.000 0.000
Co 0.500 0.500 0.000
Co 0.000 0.500 0.357
Co 0.500 0.000 0.643
As 0.000 0.500 0.125
As 0.500 0.000 0.875
As 0.000 0.000 0.500
Th 0.500 0.000 0.226
Th 0.000 0.500 0.774
U 0.500 0.500 0.500

Output
The energy of formation is -0.651 eV per atom. The total magnetization is 3.0 μB per formula unit. Its space group is P-4m2, No. 115. The crystal system is tetragonal. As for the total energy: -75.01 eV/f.u.

=====

[2]
Crystalline TiCo2As2 at its relaxed geometry. Source: Alexandria via LeMat-Bulk, functional PBE-GGA.

Cell lengths 6.953, 6.953, 2.815 Å; angles 90.00, 90.00, 90.00 degrees
Fractional coordinates of all 10 atoms:
As 0.156 0.344 0.000
As 0.844 0.656 0.000
As 0.344 0.844 0.000
As 0.656 0.156 0.000
Co 0.361 0.139 0.500
Co 0.861 0.361 0.500
Co 0.639 0.861 0.500
Co 0.139 0.639 0.500
Ti 0.000 0.000 0.000
Ti 0.500 0.500 0.000

Output
The energy of formation is -0.234 eV per atom. The total magnetization is 1.3 μB per formula unit. Its space group is P4/mbm, No. 127. The crystal system is tetragonal. As for the total energy: -32.58 eV/f.u.

=====

[3]
Crystalline Ti2CoAs at its relaxed geometry. Source: Alexandria via LeMat-Bulk, functional PBE-GGA.

Cell lengths 6.730, 6.730, 5.481 Å; angles 52.12, 52.12, 90.00 degrees
Fractional coordinates of all 8 atoms:
As 0.000 0.000 0.000
As 0.750 0.250 0.500
Ti 0.597 0.125 0.250
Ti 0.875 0.847 0.750
Ti 0.153 0.625 0.250
Ti 0.375 0.403 0.750
Co 0.250 0.750 0.500
Co 0.500 0.500 0.000

Output
The energy of formation is -0.223 eV per atom. The total magnetization is 0.0 μB per formula unit. Its space group is I-42d, No. 122. The crystal system is tetragonal. As for the total energy: -28.44 eV/f.u.

=====

[4]
Crystalline TiCoAs3 at its relaxed geometry. Source: Alexandria via LeMat-Bulk, functional PBE-GGA.

Cell lengths 4.552, 4.552, 4.552 Å; angles 90.00, 90.00, 90.00 degrees
Fractional coordinates of all 5 atoms:
As 0.000 0.000 0.500
As 0.000 0.500 0.000
As 0.500 0.000 0.000
Co 0.000 0.000 0.000
Ti 0.500 0.500 0.500

Output
The energy of formation is 0.396 eV per atom. The total magnetization is 0.0 μB per formula unit. Its space group is Pm-3m, No. 221. The crystal system is cubic. As for the total energy: -26.97 eV/f.u.

=====

[5]
Crystalline Ti8Co2As at its relaxed geometry. Source: Alexandria via LeMat-Bulk, functional PBE-GGA.

Cell lengths 4.424, 6.819, 6.819 Å; angles 116.71, 99.09, 99.09 degrees
Fractional coordinates of all 11 atoms:
Ti 0.920 0.682 0.915
Ti 0.685 0.391 0.391
Ti 0.315 0.609 0.609
Ti 0.080 0.318 0.085
Ti 0.920 0.915 0.682
Ti 0.080 0.085 0.318
Ti 0.500 0.765 0.235
Ti 0.500 0.235 0.765
As 0.500 0.000 0.000
Co 0.000 0.689 0.311
Co 0.000 0.311 0.689

Output
The energy of formation is -0.193 eV per atom. The total magnetization is 0.0 μB per formula unit. Its space group is C2/m, No. 12. The crystal system is monoclinic. As for the total energy: -84.15 eV/f.u.

=====

[6]
Crystalline Tl2CoAs at its relaxed geometry. Source: Alexandria via LeMat-Bulk, functional PBE-GGA.

Cell lengths 5.370, 5.370, 5.370 Å; angles 131.08, 131.08, 71.68 degrees
Fractional coordinates of all 4 atoms:
Tl 0.250 0.750 0.500
Tl 0.000 0.000 0.000
Co 0.750 0.250 0.500
As 0.500 0.500 0.000

Output
The energy of formation is 0.611 eV per atom. The total magnetization is 1.6 μB per formula unit. Its space group is I-4m2, No. 119. The crystal system is tetragonal. As for the total energy: -14.04 eV/f.u.

=====

[7]
Crystalline Tl2CoAs at its relaxed geometry. Source: Alexandria via LeMat-Bulk, functional PBE-GGA.

Cell lengths 3.590, 4.332, 6.204 Å; angles 66.26, 90.00, 90.00 degrees
Fractional coordinates of all 4 atoms:
As 0.500 0.250 0.250
Tl 0.000 0.963 0.987
Tl 0.000 0.537 0.513
Co 0.500 0.750 0.750

Output
The energy of formation is 0.570 eV per atom. The total magnetization is 1.5 μB per formula unit. Its space group is P2/m, No. 10. The crystal system is monoclinic. As for the total energy: -14.21 eV/f.u.

=====

[8]
Crystalline Tl2CoAs at its relaxed geometry. Source: Alexandria via LeMat-Bulk, functional PBE-GGA.

Cell lengths 4.738, 4.748, 3.829 Å; angles 90.00, 90.00, 90.00 degrees
Fractional coordinates of all 4 atoms:
Tl 0.000 0.000 0.000
Tl 0.500 0.500 0.000
Co 0.000 0.500 0.500
As 0.500 0.000 0.500

Output
The energy of formation is 0.615 eV per atom. The total magnetization is 1.7 μB per formula unit. Its space group is P4/mmm, No. 123. The crystal system is tetragonal. As for the total energy: -14.03 eV/f.u.